# 1
Computed, not measured: crystalline Na2Sb2Pt at its relaxed geometry at the PBE level of DFT.

Values from the calculation:
DOS(E_F)	0.66	states/eV/atom
ΔE to the lowest computed polymorph	4.76	kJ/mol of atoms
uncorrected formation energy	-0.383	eV/atom

Cell lengths 4.292, 6.320, 9.877 Å; angles 90.00, 90.00, 90.00 degrees
Fractional positions:
Na: 0.000 0.000 0.212
Na: 0.000 0.000 0.788
Na: 0.500 0.500 0.288
Na: 0.500 0.500 0.712
Sb: 0.000 0.253 0.500
Sb: 0.000 0.747 0.500
Sb: 0.500 0.247 0.000
Sb: 0.500 0.753 0.000
Pt: 0.000 0.500 0.000
Pt: 0.500 0.000 0.500



# 2
Computed, not measured: crystalline Na2Sn3SbPt4 at its relaxed geometry at the PBE level of DFT.

Values from the calculation:
DOS(E_F)	0.50	states/eV/atom
uncorrected formation energy	-0.453	eV/atom

Cell lengths 4.720, 4.720, 10.454 Å; angles 90.00, 90.00, 90.00 degrees
Fractional positions:
Na: 0.000 0.500 0.232
Na: 0.500 0.000 0.768
Sn: 0.000 0.500 0.878
Sn: 0.500 0.000 0.122
Sn: 0.500 0.500 0.500
Sb: 0.000 0.000 0.500
Pt: 0.000 0.000 0.000
Pt: 0.000 0.500 0.626
Pt: 0.500 0.000 0.374
Pt: 0.500 0.500 0.000



# 3
Computed, not measured: crystalline NaSr2Sb4Pt3 at its relaxed geometry at the PBE level of DFT.

Values from the calculation:
DOS(E_F)	0.41	states/eV/atom
uncorrected formation energy	-0.711	eV/atom

Cell lengths 4.720, 4.720, 11.226 Å; angles 90.00, 90.00, 90.00 degrees
Fractional positions:
Na: 0.000 0.000 0.000
Sr: 0.000 0.500 0.752
Sr: 0.500 0.000 0.248
Sb: 0.000 0.000 0.500
Sb: 0.000 0.500 0.143
Sb: 0.500 0.000 0.857
Sb: 0.500 0.500 0.500
Pt: 0.000 0.500 0.380
Pt: 0.500 0.000 0.620
Pt: 0.500 0.500 0.000



# 4
Computed, not measured: crystalline NaSbTe2Pt at its relaxed geometry at the PBE level of DFT.

Values from the calculation:
DOS(E_F)	0.77	states/eV/atom
ΔE to the lowest computed polymorph	0.00	kJ/mol of atoms
uncorrected formation energy	-0.017	eV/atom

Cell lengths 5.630, 5.630, 5.069 Å; angles 90.00, 90.00, 90.00 degrees
Fractional positions:
Na: 0.000 0.000 0.000
Sb: 0.500 0.500 0.000
Te: 0.000 0.500 0.500
Te: 0.500 0.000 0.500
Pt: 0.500 0.500 0.500



# 5
Computed, not measured: crystalline NaSbTe2Pt at its relaxed geometry at the PBE level of DFT.

Values from the calculation:
DOS(E_F)	0.98	states/eV/atom
ΔE to the lowest computed polymorph	106.84	kJ/mol of atoms
uncorrected formation energy	1.091	eV/atom

Cell lengths 5.295, 5.295, 5.239 Å; angles 90.00, 90.00, 90.00 degrees
Fractional positions:
Na: 0.000 0.000 0.000
Sb: 0.000 0.000 0.500
Te: 0.000 0.500 0.000
Te: 0.500 0.000 0.000
Pt: 0.500 0.500 0.500



# 6
Computed, not measured: crystalline NaTi2SbPt at its relaxed geometry at the PBE level of DFT.

Values from the calculation:
DOS(E_F)	1.10	states/eV/atom
uncorrected formation energy	0.852	eV/atom

Cell lengths 5.095, 5.095, 5.188 Å; angles 90.00, 90.00, 90.00 degrees
Fractional positions:
Na: 0.000 0.000 0.000
Ti: 0.000 0.500 0.500
Ti: 0.500 0.000 0.500
Sb: 0.000 0.000 0.500
Pt: 0.500 0.500 0.000